# 1
Crystalline NaGaFeP at its relaxed geometry, computed with PBE-GGA.

Summary:
M_tot: 0.0 μB/f.u.
ΔH_f (0 K): -0.3084 eV per atom

Cell: 3.764 3.764 10.809 Å, 90.00 90.00 90.00°
Element x y z (fractional)
Na1 0.250 0.250 0.240
Na2 0.750 0.750 0.760
Ga1 0.250 0.750 0.500
Ga2 0.750 0.250 0.500
Fe1 0.250 0.750 0.000
Fe2 0.750 0.250 0.000
P1 0.250 0.250 0.896
P2 0.750 0.750 0.104

# 2
Crystalline Mn3VS7 at its relaxed geometry, computed with PBE-GGA.

Summary:
M_tot: 14.6 μB/f.u.
energy relative to the elements, uncorrected: -0.2264 eV per atom

Cell: 5.660 5.660 7.118 Å, 104.32 104.32 109.95°
Element x y z (fractional)
Mn1 0.000 0.000 0.000
Mn2 0.223 0.777 0.500
Mn3 0.777 0.223 0.500
V1 0.500 0.500 0.000
S1 0.113 0.113 0.722
S2 0.142 0.491 0.133
S3 0.491 0.142 0.133
S4 0.500 0.500 0.500
S5 0.509 0.858 0.867
S6 0.858 0.509 0.867
S7 0.887 0.887 0.278